1.
Crystalline LiGaCl4 at its relaxed geometry, computed with GGA-PBE.

```
LiGaCl4
1.0
6.560 0.000 0.000
0.000 8.441 0.000
-0.249 0.000 13.079
Li Ga Cl
4 4 16
Direct
0.188 0.018 0.336 Li
0.188 0.482 0.836 Li
0.812 0.518 0.164 Li
0.812 0.982 0.664 Li
0.319 0.230 0.585 Ga
0.319 0.270 0.085 Ga
0.681 0.730 0.915 Ga
0.681 0.770 0.415 Ga
0.164 0.064 0.153 Cl
0.164 0.436 0.653 Cl
0.178 0.003 0.629 Cl
0.178 0.497 0.129 Cl
0.306 0.244 0.917 Cl
0.306 0.256 0.417 Cl
0.358 0.731 0.863 Cl
0.358 0.769 0.363 Cl
0.642 0.231 0.637 Cl
0.642 0.269 0.137 Cl
0.694 0.744 0.583 Cl
0.694 0.756 0.083 Cl
0.822 0.503 0.871 Cl
0.822 0.997 0.371 Cl
0.836 0.564 0.347 Cl
0.836 0.936 0.847 Cl
```

## Properties
The symmetry is P2_1/c, No. 14. Its energy above the most stable polymorph in this dataset is 4.9 meV/atom. Its formation energy without anion corrections is -1.38 eV per atom. The total magnetic moment comes out at 0.00 μB/f.u. For the total energy, the calculation gives -20.62 eV per formula unit.


2.
Crystalline Co5Ni5Rh at its relaxed geometry, computed with GGA-PBE.

```
Co5Ni5Rh
1.0
4.860 0.000 0.000
1.269 4.795 0.000
1.206 0.998 5.651
Co Ni Rh
5 5 1
Direct
0.000 0.000 0.000 Co
0.175 0.729 0.332 Co
0.300 0.372 0.664 Co
0.700 0.628 0.336 Co
0.825 0.271 0.668 Co
0.146 0.255 0.300 Ni
0.330 0.870 0.647 Ni
0.500 0.500 0.000 Ni
0.670 0.130 0.353 Ni
0.854 0.745 0.700 Ni
0.500 0.000 0.000 Rh
```

## Properties
The symmetry is P-1, No. 2. The total magnetic moment comes out at 13.23 μB/f.u. For the total energy, the calculation gives -69.78 eV per formula unit.


3.
Crystalline Er2PuAs3 at its relaxed geometry, computed with GGA-PBE.

```
Er2PuAs3
1.0
4.100 0.000 0.000
0.000 4.100 0.000
0.000 0.000 17.361
Er Pu As
4 2 6
Direct
0.000 0.000 0.168 Er
0.000 0.000 0.832 Er
0.500 0.500 0.332 Er
0.500 0.500 0.668 Er
0.000 0.000 0.500 Pu
0.500 0.500 0.000 Pu
0.000 0.000 0.000 As
0.000 0.000 0.333 As
0.000 0.000 0.667 As
0.500 0.500 0.167 As
0.500 0.500 0.500 As
0.500 0.500 0.833 As
```

## Properties
The symmetry is I4/mmm, No. 139. The total magnetic moment comes out at 4.94 μB/f.u. For the total energy, the calculation gives -45.45 eV per formula unit.


4.
Crystalline K2GaB at its relaxed geometry, computed with GGA-PBE.

```
K2GaB
1.0
7.749 0.000 0.000
0.000 7.749 0.000
0.000 0.000 7.749
K Ga B
8 4 4
Direct
0.250 0.250 0.250 K
0.250 0.250 0.750 K
0.250 0.750 0.250 K
0.250 0.750 0.750 K
0.750 0.250 0.250 K
0.750 0.250 0.750 K
0.750 0.750 0.250 K
0.750 0.750 0.750 K
0.000 0.000 0.000 Ga
0.000 0.500 0.500 Ga
0.500 0.000 0.500 Ga
0.500 0.500 0.000 Ga
0.000 0.000 0.500 B
0.000 0.500 0.000 B
0.500 0.000 0.000 B
0.500 0.500 0.500 B
```

## Properties
The symmetry is Fm-3m, No. 225. Its energy above the most stable polymorph in this dataset is 774.9 meV/atom. The total magnetic moment comes out at 0.00 μB/f.u. For the total energy, the calculation gives -7.47 eV per formula unit.


5.
Crystalline NaEu2Pb at its relaxed geometry, computed with GGA-PBE.

```
NaEu2Pb
1.0
5.367 0.000 0.000
0.000 5.367 0.000
0.000 0.000 4.615
Na Eu Pb
1 2 1
Direct
0.000 0.000 0.000 Na
0.000 0.500 0.500 Eu
0.500 0.000 0.500 Eu
0.500 0.500 0.000 Pb
```

## Properties
The symmetry is P4/mmm, No. 123. The total magnetic moment comes out at 14.74 μB/f.u. For the total energy, the calculation gives -26.66 eV per formula unit.


6.
Crystalline TbGeIr at its relaxed geometry, computed with GGA-PBE.

```
TbGeIr
1.0
6.150 0.000 0.000
-3.075 5.326 0.000
0.000 0.000 11.503
Tb Ge Ir
6 6 6
Direct
0.000 0.000 0.000 Tb
0.000 0.000 0.333 Tb
0.000 0.000 0.667 Tb
0.000 0.500 0.167 Tb
0.500 0.000 0.500 Tb
0.500 0.500 0.833 Tb
0.000 0.500 0.456 Ge
0.000 0.500 0.877 Ge
0.500 0.000 0.210 Ge
0.500 0.000 0.790 Ge
0.500 0.500 0.123 Ge
0.500 0.500 0.544 Ge
0.239 0.619 0.667 Ir
0.381 0.619 0.333 Ir
0.381 0.761 0.000 Ir
0.619 0.239 0.000 Ir
0.619 0.381 0.333 Ir
0.761 0.381 0.667 Ir
```

## Properties
The symmetry is P6_222, No. 180. The total magnetic moment comes out at 0.00 μB/f.u. For the total energy, the calculation gives -19.65 eV per formula unit.


> The highest total magnetic moment belongs to which entry?

NaEu2Pb


> Among the records above, which one has the highest total magnetic moment?

NaEu2Pb